Entry P
Here is Tb6Tm3Mg after structural relaxation from the Alexandria database. Energies are from PBE-GGA.

Cell lengths 11.059, 4.978, 11.124 Å; angles 90.00, 90.37, 90.00 degrees
Atoms (fractional coordinates):
Tb (0.049, 0.250, 0.399)
Tb (0.150, 0.250, 0.698)
Tb (0.150, 0.750, 0.196)
Tb (0.249, 0.250, 0.999)
Tb (0.348, 0.750, 0.800)
Tb (0.449, 0.250, 0.602)
Tb (0.551, 0.750, 0.398)
Tb (0.652, 0.250, 0.200)
Tb (0.751, 0.750, 0.001)
Tb (0.850, 0.250, 0.804)
Tb (0.850, 0.750, 0.302)
Tb (0.951, 0.750, 0.601)
Tm (0.249, 0.750, 0.497)
Tm (0.349, 0.250, 0.297)
Tm (0.450, 0.750, 0.100)
Tm (0.550, 0.250, 0.900)
Tm (0.651, 0.750, 0.703)
Tm (0.751, 0.250, 0.503)
Mg (0.047, 0.750, 0.904)
Mg (0.953, 0.250, 0.096)

Properties
DOS at the Fermi energy in states/eV/cell: 28.036
Total magnetization in μB per cell: 0.0
Density in kg/m3: 8051


Entry Q
Here is Tb6Tm3Mg after structural relaxation from the Alexandria database. Energies are from PBE-GGA.

Cell lengths 8.708, 8.708, 9.012 Å; angles 90.00, 90.00, 115.16 degrees
Atoms (fractional coordinates):
Tb (0.062, 0.938, 0.500)
Tb (0.150, 0.290, 0.318)
Tb (0.170, 0.479, 0.985)
Tb (0.290, 0.150, 0.818)
Tb (0.295, 0.705, 0.369)
Tb (0.479, 0.170, 0.485)
Tb (0.521, 0.830, 0.985)
Tb (0.705, 0.295, 0.869)
Tb (0.710, 0.850, 0.318)
Tb (0.830, 0.521, 0.485)
Tb (0.850, 0.710, 0.818)
Tb (0.938, 0.062, 0.000)
Tm (0.034, 0.317, 0.656)
Tm (0.317, 0.034, 0.156)
Tm (0.464, 0.536, 0.641)
Tm (0.536, 0.464, 0.141)
Tm (0.683, 0.966, 0.656)
Tm (0.966, 0.683, 0.156)
Mg (0.239, 0.761, 0.721)
Mg (0.761, 0.239, 0.221)

Properties
DOS at the Fermi energy in states/eV/cell: 24.447
Total magnetization in μB per cell: 0.0
Density in kg/m3: 7971


Preferred: entry P; penalty for the next structure: 0.114 eV/atom.


Entry P
Here is Tb3Tm6Mg after structural relaxation from the Alexandria database. Energies are from PBE-GGA.

Cell lengths 11.603, 3.500, 15.103 Å; angles 90.00, 101.64, 90.00 degrees
Atoms (fractional coordinates):
Tb (0.054, 0.250, 0.098)
Tb (0.153, 0.750, 0.300)
Tb (0.253, 0.250, 0.504)
Tb (0.747, 0.750, 0.496)
Tb (0.847, 0.250, 0.700)
Tb (0.946, 0.750, 0.902)
Tm (0.051, 0.750, 0.601)
Tm (0.143, 0.250, 0.800)
Tm (0.254, 0.750, 0.996)
Tm (0.350, 0.750, 0.708)
Tm (0.353, 0.250, 0.196)
Tm (0.453, 0.750, 0.397)
Tm (0.547, 0.250, 0.603)
Tm (0.647, 0.750, 0.804)
Tm (0.650, 0.250, 0.292)
Tm (0.746, 0.250, 0.004)
Tm (0.857, 0.750, 0.200)
Tm (0.949, 0.250, 0.399)
Mg (0.453, 0.250, 0.906)
Mg (0.547, 0.750, 0.094)

Properties
DOS at the Fermi energy in states/eV/cell: 26.343
Total magnetization in μB per cell: 0.0
Density in kg/m3: 8374


Entry Q
Here is Tb3Tm6Mg after structural relaxation from the Alexandria database. Energies are from PBE-GGA.

Cell lengths 8.772, 8.772, 8.855 Å; angles 90.00, 90.00, 116.86 degrees
Atoms (fractional coordinates):
Tb (0.039, 0.961, 0.500)
Tb (0.177, 0.469, 0.017)
Tb (0.469, 0.177, 0.517)
Tb (0.531, 0.823, 0.017)
Tb (0.823, 0.531, 0.517)
Tb (0.961, 0.039, 0.000)
Tm (0.024, 0.326, 0.355)
Tm (0.209, 0.791, 0.243)
Tm (0.212, 0.340, 0.685)
Tm (0.326, 0.024, 0.855)
Tm (0.340, 0.212, 0.185)
Tm (0.437, 0.563, 0.370)
Tm (0.563, 0.437, 0.870)
Tm (0.660, 0.788, 0.685)
Tm (0.674, 0.976, 0.355)
Tm (0.788, 0.660, 0.185)
Tm (0.791, 0.209, 0.743)
Tm (0.976, 0.674, 0.855)
Mg (0.269, 0.731, 0.604)
Mg (0.731, 0.269, 0.104)

Properties
DOS at the Fermi energy in states/eV/cell: 24.477
Total magnetization in μB per cell: 0.0
Density in kg/m3: 8277


Preferred: entry P; penalty for the next structure: 0.111 eV/atom.


Entry P
Here is Tb6Tm4Mg after structural relaxation from the Alexandria database. Energies are from PBE-GGA.

Cell lengths 8.402, 8.402, 8.402 Å; angles 126.84, 126.84, 78.51 degrees
Atoms (fractional coordinates):
Tb (0.000, 0.500, 0.500)
Tb (0.253, 0.253, 0.666)
Tb (0.413, 0.747, 0.000)
Tb (0.500, 0.000, 0.500)
Tb (0.587, 0.587, 0.334)
Tb (0.747, 0.413, 0.000)
Tm (0.056, 0.590, 0.000)
Tm (0.410, 0.410, 0.466)
Tm (0.590, 0.056, 0.000)
Tm (0.944, 0.944, 0.534)
Mg (0.000, 0.000, 0.000)

Properties
DOS at the Fermi energy in states/eV/cell: 12.421
Total magnetization in μB per cell: 0.0
Density in kg/m3: 7465


Entry Q
Here is Tb6Tm4Mg after structural relaxation from the Alexandria database. Energies are from PBE-GGA.

Cell lengths 9.642, 9.642, 9.642 Å; angles 140.93, 140.93, 56.45 degrees
Atoms (fractional coordinates):
Tb (0.000, 0.500, 0.500)
Tb (0.011, 0.644, 0.000)
Tb (0.356, 0.356, 0.367)
Tb (0.500, 0.000, 0.500)
Tb (0.644, 0.011, 0.000)
Tb (0.989, 0.989, 0.633)
Tm (0.191, 0.191, 0.649)
Tm (0.457, 0.809, 0.000)
Tm (0.543, 0.543, 0.351)
Tm (0.809, 0.457, 0.000)
Mg (0.000, 0.000, 0.000)

Properties
DOS at the Fermi energy in states/eV/cell: 13.154
Total magnetization in μB per cell: 0.0
Density in kg/m3: 7771


Preferred: entry Q; penalty for the next structure: 0.173 eV/atom.


Entry P
Here is Tb2Tm6Mg after structural relaxation from the Alexandria database. Energies are from PBE-GGA.

Cell lengths 10.391, 10.391, 4.966 Å; angles 90.00, 90.00, 90.00 degrees
Atoms (fractional coordinates):
Tb (0.166, 0.166, 0.000)
Tb (0.334, 0.666, 0.500)
Tb (0.666, 0.334, 0.500)
Tb (0.834, 0.834, 0.000)
Tm (0.000, 0.334, 0.500)
Tm (0.000, 0.666, 0.500)
Tm (0.166, 0.500, 0.000)
Tm (0.168, 0.832, 0.000)
Tm (0.332, 0.332, 0.500)
Tm (0.334, 0.000, 0.500)
Tm (0.500, 0.166, 0.000)
Tm (0.500, 0.834, 0.000)
Tm (0.666, 0.000, 0.500)
Tm (0.668, 0.668, 0.500)
Tm (0.832, 0.168, 0.000)
Tm (0.834, 0.500, 0.000)
Mg (0.000, 0.000, 0.500)
Mg (0.500, 0.500, 0.000)

Properties
DOS at the Fermi energy in states/eV/cell: 25.552
Total magnetization in μB per cell: 0.0
Density in kg/m3: 8399


Entry Q
Here is Tb2Tm6Mg after structural relaxation from the Alexandria database. Energies are from PBE-GGA.

Cell lengths 3.507, 3.507, 25.724 Å; angles 90.00, 90.00, 120.00 degrees
Atoms (fractional coordinates):
Tb (0.000, 0.000, 0.173)
Tb (0.000, 0.000, 0.827)
Tm (0.000, 0.000, 0.393)
Tm (0.000, 0.000, 0.607)
Tm (0.667, 0.333, 0.065)
Tm (0.667, 0.333, 0.285)
Tm (0.667, 0.333, 0.715)
Tm (0.667, 0.333, 0.935)
Mg (0.667, 0.333, 0.500)

Properties
DOS at the Fermi energy in states/eV/cell: 15.172
Total magnetization in μB per cell: 1.6
Density in kg/m3: 8217


Preferred: entry P; penalty for the next structure: 0.042 eV/atom.